No. 1
An optimized crystal structure of ZnGa2Cu, computed with PBE-GGA.

Results
Symmetry: R-3m, No. 166
E_form (kJ per mole of atoms): 6.2
Crystal system: trigonal
Uncorrected energy (eV/atom): -2.7914
Calculated volume (Å³/atom): 16.7
Total magnetic moment (μB per atom): 0.000

Cell: 2.9283 2.9283 9.1368 Å, 80.78 80.78 60.00°
Closest atoms and distances in Å follow each position.
Fractional coordinates of all 4 atoms:
Zn (0.0000, 0.0000, 0.0000)  2 Ga 2.52
Cu (0.5000, 0.5000, 0.5000)  6 Ga 2.59
Ga (0.0937, 0.0937, 0.7188)  1 Zn 2.52, 3 Cu 2.59
Ga (0.9063, 0.9063, 0.2812)  1 Zn 2.52, 3 Cu 2.59

No. 2
An optimized crystal structure of Zn2GaCu3, computed with PBE-GGA.

Results
Symmetry: Cmmm, No. 65
E_form (kJ per mole of atoms): -6.9
Relative energy among the computed polymorphs (eV/atom): 0.0000
Crystal system: orthorhombic
Uncorrected energy (eV/atom): -3.0491
Calculated volume (Å³/atom): 13.3
Total magnetic moment (μB per atom): 0.000

Cell: 3.2240 4.0386 6.4359 Å, 108.29 90.00 90.00°
Closest atoms and distances in Å follow each position.
Fractional coordinates of all 6 atoms:
Zn (0.0000, 0.6685, 0.3370)  8 Cu 2.58-2.62, 2 Zn 2.84, 2 Ga 2.88
Zn (0.0000, 0.3315, 0.6630)  8 Cu 2.58-2.62, 2 Zn 2.84, 2 Ga 2.88
Ga (0.0000, 0.0000, 0.0000)  8 Cu 2.58-2.59, 4 Zn 2.88
Cu (0.5000, 0.1661, 0.3323)  6 Zn 2.58-2.59, 2 Ga 2.59, 4 Cu 2.86-2.88
Cu (0.5000, 0.5000, 0.0000)  4 Ga 2.58, 4 Zn 2.62, 4 Cu 2.86
Cu (0.5000, 0.8339, 0.6677)  6 Zn 2.58-2.59, 2 Ga 2.59, 4 Cu 2.86-2.88

No. 3
An optimized crystal structure of Zn3GaCu6, computed with PBE-GGA.

Results
Symmetry: P2_1/m, No. 11
E_form (kJ per mole of atoms): -8.0
Relative energy among the computed polymorphs (eV/atom): 0.0000
Crystal system: monoclinic
Uncorrected energy (eV/atom): -3.2253
Calculated volume (Å³/atom): 12.9
Total magnetic moment (μB per atom): 0.000

Cell: 3.8559 8.1230 8.2509 Å, 91.34 90.00 90.00°
Closest atoms and distances in Å follow each position.
Fractional coordinates of all 20 atoms:
Zn (0.2500, 0.5477, 0.3981)  8 Cu 2.57-2.67, 4 Zn 2.68
Zn (0.7500, 0.4523, 0.6019)  8 Cu 2.57-2.67, 4 Zn 2.68
Zn (0.2500, 0.3503, 0.8013)  8 Cu 2.57-2.66, 4 Zn 2.68-2.69
Zn (0.7500, 0.6497, 0.1987)  8 Cu 2.57-2.66, 4 Zn 2.68-2.69
Zn (0.2500, 0.7523, 0.9972)  10 Cu 2.56-2.64, 2 Zn 2.69
Zn (0.7500, 0.2477, 0.0028)  10 Cu 2.56-2.64, 2 Zn 2.69
Ga (0.2500, 0.9453, 0.6127)  10 Cu 2.52-2.66
Ga (0.7500, 0.0547, 0.3873)  10 Cu 2.52-2.66
Cu (0.2500, 0.4489, 0.0995)  5 Cu 2.56-2.68, 7 Zn 2.57-2.64
Cu (0.7500, 0.5511, 0.9005)  5 Cu 2.56-2.68, 7 Zn 2.57-2.64
Cu (0.2500, 0.1516, 0.1971)  8 Cu 2.54-2.65, 2 Ga 2.62, 2 Zn 2.64
Cu (0.7500, 0.8484, 0.8029)  8 Cu 2.54-2.65, 2 Ga 2.62, 2 Zn 2.64
Cu (0.2500, 0.6490, 0.7007)  1 Ga 2.53, 5 Zn 2.57-2.62, 6 Cu 2.64-2.68
Cu (0.7500, 0.3510, 0.2993)  1 Ga 2.53, 5 Zn 2.57-2.62, 6 Cu 2.64-2.68
Cu (0.2500, 0.2475, 0.4988)  5 Cu 2.59-2.68, 4 Zn 2.59-2.67, 3 Ga 2.64-2.65
Cu (0.7500, 0.7525, 0.5012)  5 Cu 2.59-2.68, 4 Zn 2.59-2.67, 3 Ga 2.64-2.65
Cu (0.2500, 0.8514, 0.3017)  5 Cu 2.61-2.69, 4 Zn 2.61-2.66, 3 Ga 2.62-2.66
Cu (0.7500, 0.1486, 0.6983)  5 Cu 2.61-2.69, 4 Zn 2.61-2.66, 3 Ga 2.62-2.66
Cu (0.2500, 0.0508, 0.9028)  1 Ga 2.52, 7 Cu 2.54-2.69, 4 Zn 2.56-2.63
Cu (0.7500, 0.9492, 0.0972)  1 Ga 2.52, 7 Cu 2.54-2.69, 4 Zn 2.56-2.63

No. 4
An optimized crystal structure of ZnGa2Cu4, computed with PBE-GGA.

Results
Symmetry: P1, No. 1
E_form (kJ per mole of atoms): -4.7
Relative energy among the computed polymorphs (eV/atom): 0.0000
Crystal system: triclinic
Uncorrected energy (eV/atom): -3.4364
Calculated volume (Å³/atom): 13.7
Total magnetic moment (μB per atom): 0.000

Cell: 6.3678 4.8115 6.6367 Å, 103.52 93.97 101.56°
Closest atoms and distances in Å follow each position.
Fractional coordinates of all 14 atoms:
Zn (0.3520, 0.5191, 0.4944)  7 Cu 2.58-2.83, 3 Ga 2.79-2.84
Zn (0.8217, 0.9672, 0.0089)  8 Cu 2.60-2.86, 3 Ga 2.82-2.85
Ga (0.7174, 0.4212, 0.7090)  5 Cu 2.38-2.65
Ga (0.5077, 0.9687, 0.3073)  4 Cu 2.45-2.62, 1 Ga 2.75
Ga (0.6607, 0.4688, 0.1812)  3 Cu 2.44-2.57
Ga (0.1032, 0.2300, 0.7556)  8 Cu 2.40-2.63
Cu (0.9423, 0.3274, 0.3878)  3 Ga 2.48-2.76, 2 Zn 2.58-2.66, 3 Cu 2.58-2.68
Cu (0.0485, 0.5591, 0.0856)  5 Cu 2.41-2.67, 2 Ga 2.48-2.57
Cu (0.0861, 0.7268, 0.7522)  3 Ga 2.40-2.47, 6 Cu 2.51-2.68, 1 Zn 2.66
Cu (0.7562, 0.8617, 0.5641)  5 Ga 2.46-2.74, 3 Cu 2.62-2.65, 1 Zn 2.71
Cu (0.2366, 0.1352, 0.1125)  2 Ga 2.45-2.63, 4 Cu 2.59-2.69, 2 Zn 2.60-2.72
Cu (0.4576, 0.0433, 0.7881)  2 Ga 2.38-2.60, 4 Cu 2.47-2.65
Cu (0.4280, 0.6097, 0.9330)  4 Ga 2.44-2.62, 4 Cu 2.47-2.72, 1 Zn 2.68
Cu (0.1320, 0.9115, 0.4202)  5 Cu 2.41-2.62, 2 Ga 2.43-2.54, 1 Zn 2.68